! Th3Bi2S, relaxed, DFT PBE; values from VASP
&SYSTEM
  ibrav = 0, nat = 12, ntyp = 3
/
ATOMIC_SPECIES
Th 232.04 Th.upf
Bi 208.98 Bi.upf
S 32.06 S.upf
CELL_PARAMETERS angstrom
-7.227 2.179 0.945
-4.576 -6.245 -0.268
-2.987 0.352 6.960
ATOMIC_POSITIONS angstrom
Th -3.076 -0.642 0.224
Bi 0.000 0.000 0.000
Th -6.153 -0.016 2.997
S -6.813 1.692 5.229
Bi -5.467 -2.545 4.841
Th -5.196 -4.585 2.385
Th -8.727 -3.424 0.453
Th -8.637 -3.699 4.640
Bi -5.901 -2.033 0.338
S -3.401 0.839 2.677
Bi -9.323 -1.169 2.797
Th -9.594 0.871 5.252
! formation energy from raw total energies	-5.71	eV/f.u.


! CeTeCl, relaxed, DFT PBE; values from VASP
&SYSTEM
  ibrav = 0, nat = 6, ntyp = 3
/
ATOMIC_SPECIES
Cl 35.45 Cl.upf
Ce 140.12 Ce.upf
Te 127.60 Te.upf
CELL_PARAMETERS angstrom
-1.829 4.780 0.730
-3.601 -0.793 -3.630
-5.838 -1.655 4.493
ATOMIC_POSITIONS angstrom
Cl -4.911 2.661 0.657
Ce -5.386 2.096 3.490
Te -9.454 -1.766 0.874
Cl -7.982 1.339 2.514
Te -6.348 -0.345 -0.912
Ce -3.180 0.682 -0.511
! excess energy over the best structure of this formula in the dataset	0.0927	eV per atom
! formation energy from raw total energies	-4.95	eV/f.u.


! Ac3Ni2Ge2, relaxed, DFT PBE; values from VASP
&SYSTEM
  ibrav = 0, nat = 7, ntyp = 3
/
ATOMIC_SPECIES
Ac 227.00 Ac.upf
Ge 72.64 Ge.upf
Ni 58.69 Ni.upf
CELL_PARAMETERS angstrom
-0.553 -2.922 -3.183
-2.332 -2.648 2.836
-6.390 6.999 -2.334
ATOMIC_POSITIONS angstrom
Ac -3.088 0.051 -2.491
Ge -6.037 1.638 -3.435
Ge -3.239 -0.209 0.755
Ac -6.188 1.378 -0.189
Ni -6.784 3.650 -2.172
Ni -2.491 -2.221 -0.509
Ac 0.000 0.000 0.000
! energy relative to the elements	-0.56	eV/atom


no.,E_tot (eV/cell)
1,-79.72
2,-31.75
3,-37.02